# 1
VASP calculation (PBEsol) on a geometry-optimized ZrInOs structure.

The calculation puts the volume at 65.1 Å³/f.u. The calculation puts the density of states at the Fermi level at 1.06 states/eV per atom. The formation energy from the elements is 0.615 eV per atom.

```
ZrInOs
1.0
4.5153 0.0000 0.0000
2.2576 3.9103 0.0000
2.2576 1.3034 3.6867
In Os Zr
1 1 1
direct
0.0000 0.0000 0.0000
0.5000 0.5000 0.5000
0.2500 0.2500 0.2500
```


# 2
VASP calculation (PBEsol) on a geometry-optimized YAs structure.

The calculation puts the volume at 47.5 Å³/f.u. The calculation puts the density of states at the Fermi level at 0.13 states/eV per atom. The formation energy from the elements is -1.588 eV per atom.

```
YAs
1.0
4.0641 0.0000 0.0000
2.0320 3.5196 0.0000
2.0320 1.1732 3.3183
Y As
1 1
direct
0.0000 0.0000 0.0000
0.5000 0.5000 0.5000
```


# 3
VASP calculation (PBEsol) on a geometry-optimized MnAgO2 structure.

The calculation puts the volume at 48.7 Å³/f.u. The calculation puts the density of states at the Fermi level at 0.20 states/eV per atom. As for the formation energy without anion corrections: -1.051 eV per atom.

```
MnAgO2
1.0
2.8882 0.0000 0.0000
-1.4441 2.7278 0.0000
0.0000 0.0000 12.3735
Mn O Ag
2 4 2
direct
0.0000 0.0000 0.5000
0.0000 0.0000 0.0000
0.6448 0.2895 0.0817
0.3552 0.7105 0.9183
0.3552 0.7105 0.5817
0.6448 0.2895 0.4183
0.6343 0.2686 0.2500
0.3657 0.7314 0.7500
```